1.
The following is a DFT calculation (PBE) of LaFe2Tc after structural relaxation.

Geometry as POSCAR:
```
LaFe2Tc
1.0
1.4683 0.8477 9.1704
-1.4683 0.8477 9.1704
0.0000 -1.6955 9.1704
La Fe Tc
1 2 1
Direct
0.0000 0.0000 0.0000 La
0.2362 0.2362 0.2362 Fe
0.7638 0.7638 0.7638 Fe
0.5000 0.5000 0.5000 Tc
```

- space group = No. 166
- size of the total moment (μB per formula unit) = 4.46
- excess energy over the best structure of this formula in the dataset (kJ/mol of atoms) = 51.5
- formation enthalpy at 0 K (eV per atom) = 0.685


2.
The following is a DFT calculation (PBE) of LaFe2Tc after structural relaxation.

Geometry as POSCAR:
```
LaFe2Tc
1.0
3.0406 0.0000 0.0000
0.0000 3.0406 0.0000
0.0000 0.0000 7.3312
La Fe Tc
1 2 1
Direct
0.0000 0.0000 0.0000 La
0.0000 0.0000 0.5161 Fe
0.5000 0.5000 0.6865 Fe
0.5000 0.5000 0.3331 Tc
```

- space group = No. 99
- size of the total moment (μB per formula unit) = 3.89
- excess energy over the best structure of this formula in the dataset (kJ/mol of atoms) = 15.6
- formation enthalpy at 0 K (eV per atom) = 0.312


3.
The following is a DFT calculation (PBE) of LaFe2Tc after structural relaxation.

Geometry as POSCAR:
```
LaFe2Tc
1.0
0.0000 3.2148 3.2148
3.2148 0.0000 3.2148
3.2148 3.2148 0.0000
La Fe Tc
1 2 1
Direct
0.0000 0.0000 0.0000 La
0.2500 0.2500 0.2500 Fe
0.7500 0.7500 0.7500 Fe
0.5000 0.5000 0.5000 Tc
```

- space group = No. 225
- size of the total moment (μB per formula unit) = 4.61
- excess energy over the best structure of this formula in the dataset (kJ/mol of atoms) = 35.7
- formation enthalpy at 0 K (eV per atom) = 0.520


What did the second record say?
The following is a DFT calculation (PBE) of LaFe2Tc after structural relaxation.

Geometry as POSCAR:
```
LaFe2Tc
1.0
3.0406 0.0000 0.0000
0.0000 3.0406 0.0000
0.0000 0.0000 7.3312
La Fe Tc
1 2 1
Direct
0.0000 0.0000 0.0000 La
0.0000 0.0000 0.5161 Fe
0.5000 0.5000 0.6865 Fe
0.5000 0.5000 0.3331 Tc
```

- space group = No. 99
- size of the total moment (μB per formula unit) = 3.89
- excess energy over the best structure of this formula in the dataset (kJ/mol of atoms) = 15.6
- formation enthalpy at 0 K (eV per atom) = 0.312